# Dy2Ho3Er6Tm (PBE, optimized geometry)
data_Dy2Ho3Er6Tm
_chemical_formula_sum 'Dy2 Ho3 Er6 Tm1'
_space_group_name_H-M_alt 'P 1'
_space_group_IT_number 1
_space_group_name_Hall 'P 1'
_cell_length_a 6.070
_cell_length_b 6.070
_cell_length_c 11.619
_cell_angle_alpha 94.98
_cell_angle_beta 94.98
_cell_angle_gamma 119.93
loop_
_atom_site_label
_atom_site_type_symbol
_atom_site_fract_x
_atom_site_fract_y
_atom_site_fract_z
Dy1 Dy 0.667 0.333 0.000
Er1 Er 0.917 0.584 0.750
Er2 Er 0.416 0.083 0.250
Er3 Er 0.083 0.416 0.250
Er4 Er 0.584 0.917 0.750
Ho1 Ho 0.167 0.833 0.500
Dy2 Dy 0.333 0.667 0.000
Er5 Er 0.750 0.750 0.250
Er6 Er 0.250 0.250 0.750
Ho2 Ho 0.500 0.500 0.500
Tm1 Tm 0.000 0.000 0.000
Ho3 Ho 0.833 0.167 0.500
# Total energy, hartree per atom: -0.1670
# Energy of formation from the pure elements, meV/atom: 21